No. 1
Rb4TiI5: optimized geometry, PBE.

Results
formation energy without anion corrections = -24.6 kcal/mol of atoms
ρ = 3.65 g/cm³
D(E_F) = 0.711 states/eV per atom

extended XYZ file:
```
10
Lattice="7.3794 0.0000 0.0000 3.6897 7.9456 0.0000 3.6897 0.0000 7.9456" Properties=species:S:1:pos:R:3 pbc="T T T"
Rb 11.0818 6.2790 4.8493
Rb 7.3920 3.0963 6.2790
Rb 7.3921 4.8493 1.6666
Rb 3.7024 1.6665 3.0963
I 7.3951 6.5855 5.2329
I 11.0848 2.7127 6.5856
I 7.3951 1.3600 2.7127
I 3.7053 5.2329 1.3600
I 3.3011 0.0000 0.0000
Ti 0.3514 0.0000 0.0000
```

=====

No. 2
Ac3La4Y4: optimized geometry, PBE.

Results
ρ = 6.45 g/cm³
energy of formation from the pure elements = 0.05 eV per atom
D(E_F) = 1.654 states/eV per atom

extended XYZ file:
```
11
Lattice="-0.0119 -3.6837 0.1959 4.7475 -0.2045 -3.5293 13.5729 -1.1857 13.3881" Properties=species:S:1:pos:R:3 pbc="T T T"
La 6.8005 -1.9069 -0.6614
La 7.6049 -1.5895 5.3700
La 11.5079 -3.1671 10.7157
La 10.7048 -3.4844 4.6860
Ac 12.8810 -1.4970 7.5011
Ac 13.5730 -1.1857 13.3880
Ac 5.4273 -3.5771 2.5528
Y 3.3798 -1.8728 -0.3005
Y 14.9284 -3.2013 10.3545
Y 8.8345 -1.7689 2.0709
Y 9.4743 -3.3051 7.9841
```

=====

No. 3
KZnBiBr6: optimized geometry, PBE.

Results
formation energy without anion corrections = -22.7 kcal/mol of atoms
ρ = 4.01 g/cm³
D(E_F) = 0.000 states/eV per atom

extended XYZ file:
```
9
Lattice="7.2061 0.0005 0.0004 3.6036 6.2404 -0.0004 0.0006 -0.0010 7.2942" Properties=species:S:1:pos:R:3 pbc="T T T"
K 7.2065 -0.0005 7.2946
Br 4.8038 3.8587 2.0655
Br 2.6626 0.1513 5.2286
Br 1.4628 2.2294 2.0654
Br 4.5439 0.1507 2.0663
Br 2.4030 3.8589 5.2277
Br 5.7441 2.2300 5.2285
Bi 7.2063 4.1599 3.6471
Zn 3.6035 2.0799 3.6470
```